No. 1
KLi3P: relaxed, PBE.

a = 4.9019 Å, b = 4.9019 Å, c = 4.9019 Å
α = 90.00°, β = 90.00°, γ = 90.00°
Fractional positions:
K1 0.0000 0.0000 0.0000
Li1 0.0000 0.5000 0.5000
Li2 0.5000 0.0000 0.5000
Li3 0.5000 0.5000 0.0000
P1 0.5000 0.5000 0.5000

Summary:
distance to the lowest polymorph of the same formula: 0.0 meV per atom
symmetry: Pm-3m, No. 221

No. 2
HoZr2Nb: relaxed, PBE.

a = 11.0992 Å, b = 11.0992 Å, c = 11.0992 Å
α = 16.54°, β = 16.54°, γ = 16.54°
Fractional positions:
Ho1 0.0000 0.0000 0.0000
Zr1 0.0951 0.0951 0.0951
Zr2 0.9049 0.9049 0.9049
Nb1 0.5000 0.5000 0.5000

Summary:
distance to the lowest polymorph of the same formula: 240.0 meV per atom
symmetry: R-3m, No. 166

Number 1: mass density 1.3 g/cm3, raw total energy -2.792 eV per atom, ΔE_f -342.1 meV/atom. Number 2: mass density 7.6 g/cm3, raw total energy -7.604 eV per atom, ΔE_f 332.3 meV/atom.